(P)
NdScTl: optimized geometry, PBE.

Summary:
D(E_F) = 1.01 states/eV per atom

Cell: 4.5983 4.5983 8.1669 Å, 90.00 90.00 90.00°
Each line ends with the local moment (μB).
Element x y z (fractional)
Nd1 0.0000 0.5000 0.8495  0.21
Nd2 0.5000 0.0000 0.1505  0.21
Sc1 0.5000 0.5000 0.5000  0.37
Sc2 0.0000 0.0000 0.5000  0.37
Tl1 0.0000 0.5000 0.2508  0.00
Tl2 0.5000 0.0000 0.7492  0.00

(Q)
NdScTl: optimized geometry, PBE.

Summary:
D(E_F) = 1.35 states/eV per atom

Cell: 3.5706 3.5706 7.0438 Å, 104.68 104.68 90.00°
Element x y z (fractional)
Sc1 0.2981 0.2981 0.5961
Tl1 0.9377 0.9377 0.8754
Nd1 0.6142 0.6142 0.2285

(R)
NdScTl: optimized geometry, PBE.

Summary:
D(E_F) = 0.89 states/eV per atom

Cell: 4.5742 4.5742 8.8711 Å, 104.87 104.87 90.01°
Element x y z (fractional)
Tl1 0.8727 0.8727 0.7438
Tl2 0.1273 0.1273 0.2562
Nd1 0.3295 0.3295 0.6573
Nd2 0.6705 0.6705 0.3427
Sc1 0.5000 0.0000 0.0000
Sc2 0.0000 0.5000 0.0000

(S)
NdScTl: optimized geometry, PBE.

Summary:
D(E_F) = 1.08 states/eV per atom

Cell: 3.7842 5.1103 5.1103 Å, 120.00 90.00 90.00°
Element x y z (fractional)
Sc1 0.1686 0.6667 0.3333
Tl1 0.1641 0.0000 0.0000
Nd1 0.6673 0.3333 0.6667

Most stable to least stable, the ends of the list are (R) and (Q).